A plane-wave DFT calculation with PBE was carried out for SmZrIrRu after structural relaxation.

Geometry as extended XYZ:
```
16
Lattice="6.771 0.000 0.000 0.000 6.771 0.000 0.000 0.000 6.771" Properties=species:S:1:pos:R:3 pbc="T T T"
Sm 0.000 0.000 0.000
Sm 0.000 3.386 3.386
Sm 3.386 0.000 3.386
Sm 3.386 3.386 0.000
Zr 0.000 0.000 3.386
Zr 0.000 3.386 0.000
Zr 3.386 0.000 0.000
Zr 3.386 3.386 3.386
Ir 1.693 1.693 1.693
Ir 1.693 5.079 5.079
Ir 5.079 1.693 5.079
Ir 5.079 5.079 1.693
Ru 1.693 1.693 5.079
Ru 1.693 5.079 1.693
Ru 5.079 1.693 1.693
Ru 5.079 5.079 5.079
```

Energy of formation from the pure elements (eV/atom): -0.514
Magnetization (μB/f.u.): 0.000